Entry 1:
The following is a GGA-PBE calculation of an optimized crystal structure of SrNi2S, from Alexandria via LeMat-Bulk.

Unit cell a=4.0302 b=4.8990 c=8.5358 alpha=83.60 beta=88.44 gamma=78.91
Closest atoms and distances in Å follow each position.
Fractional coordinates of all 8 atoms:
Ni (0.8316, 0.3604, 0.7941)  1 S 2.17, 1 Ni 2.37
Ni (0.3354, 0.3833, 0.6263)  1 S 2.26, 6 Ni 2.42-2.49
Ni (0.7690, 0.6463, 0.5366)  2 S 2.18-2.21, 1 Ni 2.42
Ni (0.9002, 0.1230, 0.5645)  1 S 2.14, 1 Ni 2.37
S (0.9148, 0.4230, 0.0360)  1 Ni 2.17
S (0.2353, 0.7892, 0.4664)  4 Ni 2.14-2.26
Sr (0.4345, 0.2851, 0.2824)  4 S 2.93-3.04, 2 Ni 3.03
Sr (0.3229, 0.8388, 0.8581)  5 Ni 2.89-3.15, 2 S 3.10-3.13

Calculated values
**Symmetry**: P1

***

Entry 2:
The following is a GGA-PBE calculation of an optimized crystal structure of SrNiS, from Alexandria via LeMat-Bulk.

Unit cell a=5.9865 b=5.9875 c=3.9772 alpha=70.58 beta=70.62 gamma=80.38
Closest atoms and distances in Å follow each position.
Fractional coordinates of all 6 atoms:
Ni (0.8226, 0.6940, 0.4406)  2 S 2.15
Ni (0.1530, 0.3637, 0.4411)  2 S 2.15
Sr (0.7219, 0.2628, 0.2068)  6 S 3.03-3.29, 6 Ni 3.22-3.23
Sr (0.2540, 0.7949, 0.6745)  6 S 3.03-3.29, 6 Ni 3.22-3.23
S (0.7164, 0.8004, 0.9404)  2 Ni 2.15
S (0.2594, 0.2573, 0.9412)  2 Ni 2.15

Calculated values
**Symmetry**: Immm

***

Entry 3:
The following is a GGA-PBE calculation of an optimized crystal structure of SrNiS, from Alexandria via LeMat-Bulk.

Unit cell a=5.1128 b=7.1313 c=4.0901 alpha=89.97 beta=113.65 gamma=84.24
Closest atoms and distances in Å follow each position.
Fractional coordinates of all 6 atoms:
Ni (0.5365, 0.7589, 0.6914)  2 S 2.13-2.25
Ni (0.0291, 0.6121, 0.4373)  2 S 2.18
S (0.4645, 0.0765, 0.6554)  1 Ni 2.25
S (0.9056, 0.5549, 0.8754)  3 Ni 2.13-2.18
Sr (0.5050, 0.3929, 0.1752)  5 S 2.92-3.09, 1 Ni 3.05
Sr (0.0895, 0.9449, 0.9674)  4 S 2.92-3.00, 5 Ni 3.04-3.17

Calculated values
**Symmetry**: Cm

***

Entry 4:
The following is a GGA-PBE calculation of an optimized crystal structure of SrNi2S, from Alexandria via LeMat-Bulk.

Unit cell a=5.3220 b=5.3220 c=5.1719 alpha=90.00 beta=90.00 gamma=90.00
Closest atoms and distances in Å follow each position.
Fractional coordinates of all 8 atoms:
Ni (0.2500, 0.2500, 0.0000)  2 S 2.18
Ni (0.2500, 0.7500, 0.0000)  2 S 2.18
Ni (0.7500, 0.7500, 0.0000)  2 S 2.18
Ni (0.7500, 0.2500, 0.0000)  2 S 2.18
Sr (0.0000, 0.0000, 0.5000)  4 S 3.05, 8 Ni 3.20
Sr (0.5000, 0.5000, 0.5000)  4 S 3.05, 8 Ni 3.20
S (0.5000, 0.0000, 0.2116)  4 Ni 2.18
S (0.0000, 0.5000, 0.7884)  4 Ni 2.18

Calculated values
**Symmetry**: P4/nmm

***

Entry 5:
The following is a GGA-PBE calculation of an optimized crystal structure of SrNi2S, from Alexandria via LeMat-Bulk.

Unit cell a=5.1695 b=3.7113 c=16.2615 alpha=90.00 beta=90.00 gamma=90.00
Closest atoms and distances in Å follow each position.
Fractional coordinates of all 16 atoms:
Ni (0.7532, 0.5000, 0.3375)  2 S 2.39, 5 Ni 2.39-2.67
Ni (0.7532, 0.0000, 0.8375)  2 S 2.39, 5 Ni 2.39-2.67
Ni (0.5000, 0.0000, 0.9803)  2 S 2.26, 2 Ni 2.43
Ni (0.5000, 0.5000, 0.4803)  2 S 2.26, 2 Ni 2.43
Ni (0.5000, 0.5000, 0.8839)  6 Ni 2.39-2.43
Ni (0.5000, 0.0000, 0.3839)  6 Ni 2.39-2.43
Ni (0.2468, 0.5000, 0.3375)  2 S 2.39, 5 Ni 2.39-2.67
Ni (0.2468, 0.0000, 0.8375)  2 S 2.39, 5 Ni 2.39-2.67
S (0.0000, 0.0000, 0.2886)  4 Ni 2.39
S (0.0000, 0.5000, 0.7886)  4 Ni 2.39
S (0.5000, 0.5000, 0.0597)  2 Ni 2.26
S (0.5000, 0.0000, 0.5597)  2 Ni 2.26
Sr (0.5000, 0.0000, 0.1970)  4 S 2.90-2.98, 5 Ni 3.04-3.22
Sr (0.0000, 0.5000, 0.9733)  3 S 2.94-3.00, 10 Ni 2.97-3.18
Sr (0.5000, 0.5000, 0.6970)  4 S 2.90-2.98, 5 Ni 3.04-3.22
Sr (0.0000, 0.0000, 0.4733)  3 S 2.94-3.00, 10 Ni 2.97-3.18

Calculated values
**Symmetry**: Amm2

***

Entry 6:
The following is a GGA-PBE calculation of an optimized crystal structure of SrNiS, from Alexandria via LeMat-Bulk.

Unit cell a=5.9656 b=5.8273 c=4.0539 alpha=69.64 beta=89.96 gamma=86.68
Closest atoms and distances in Å follow each position.
Fractional coordinates of all 6 atoms:
Sr (0.7344, 0.2503, 0.7469)  5 S 2.97-3.16, 3 Ni 3.07-3.19
Sr (0.2411, 0.8074, 0.4678)  5 S 2.97-3.16, 3 Ni 3.07-3.19
Ni (0.8075, 0.6897, 0.0276)  2 S 2.15
Ni (0.1688, 0.3680, 0.1874)  2 S 2.15
S (0.2322, 0.2507, 0.7460)  2 Ni 2.15
S (0.7433, 0.8070, 0.4690)  2 Ni 2.15

Calculated values
**Symmetry**: C2/m

***

Entry 7:
The following is a GGA-PBE calculation of an optimized crystal structure of SrNiS, from Alexandria via LeMat-Bulk.

Unit cell a=6.3126 b=5.5464 c=4.5198 alpha=64.47 beta=77.18 gamma=83.45
Closest atoms and distances in Å follow each position.
Fractional coordinates of all 6 atoms:
Sr (0.6388, 0.3647, 0.8955)  4 Ni 2.89-3.03, 4 S 2.90-3.08
Sr (0.1189, 0.8039, 0.7976)  1 Ni 2.84, 3 S 2.95-3.14
Ni (0.5235, 0.7288, 0.2542)  2 S 2.21-2.22
Ni (0.5368, 0.0294, 0.6033)  2 S 2.16-2.25
S (0.8049, 0.8647, 0.3524)  2 Ni 2.16-2.21
S (0.3044, 0.3815, 0.4958)  2 Ni 2.22-2.25

Calculated values
**Symmetry**: P1

***

Entry 8:
The following is a GGA-PBE calculation of an optimized crystal structure of SrNiS, from Alexandria via LeMat-Bulk.

Unit cell a=8.3677 b=7.6252 c=4.6910 alpha=90.00 beta=90.00 gamma=90.00
Closest atoms and distances in Å follow each position.
Fractional coordinates of all 12 atoms:
Ni (0.5000, 0.7500, 0.6994)  2 S 2.12
Ni (0.0000, 0.2500, 0.1994)  2 S 2.12
Ni (0.0000, 0.7500, 0.8006)  2 S 2.12
Ni (0.5000, 0.2500, 0.3006)  2 S 2.12
Sr (0.2500, 0.2500, 0.7499)  4 Ni 2.97-3.32, 4 S 3.06
Sr (0.7500, 0.7500, 0.2501)  4 Ni 2.97-3.32, 4 S 3.06
Sr (0.2500, 0.7500, 0.2499)  4 Ni 2.97-3.32, 4 S 3.06
Sr (0.7500, 0.2500, 0.7501)  4 Ni 2.97-3.32, 4 S 3.06
S (0.5000, 0.5000, 0.5000)  2 Ni 2.12
S (0.0000, 0.5000, 0.0000)  2 Ni 2.12
S (0.0000, 0.0000, 0.0000)  2 Ni 2.12
S (0.5000, 0.0000, 0.5000)  2 Ni 2.12

Calculated values
**Symmetry**: Imma

***

Entry 9:
The following is a GGA-PBE calculation of an optimized crystal structure of SrNi2S, from Alexandria via LeMat-Bulk.

Unit cell a=8.5547 b=3.9391 c=10.3997 alpha=90.00 beta=118.72 gamma=90.00
Closest atoms and distances in Å follow each position.
Fractional coordinates of all 16 atoms:
Sr (0.1489, 0.0000, 0.5443)  7 Ni 2.81-3.11, 1 S 3.02
Sr (0.7142, 0.5000, 0.1360)  4 Ni 2.96-3.26, 5 S 3.04-3.28
Sr (0.7142, 0.0000, 0.6360)  4 Ni 2.96-3.26, 5 S 3.04-3.28
Sr (0.1489, 0.5000, 0.0443)  7 Ni 2.81-3.11, 1 S 3.02
S (0.5493, 0.0000, 0.2792)  4 Ni 2.15-2.33
S (0.0185, 0.5000, 0.7178)  3 Ni 2.25-2.40
S (0.0185, 0.0000, 0.2178)  3 Ni 2.25-2.40
S (0.5493, 0.5000, 0.7792)  4 Ni 2.15-2.33
Ni (0.4210, 0.0000, 0.0438)  1 S 2.15, 1 Ni 2.40
Ni (0.4974, 0.0000, 0.8443)  2 S 2.20, 3 Ni 2.44-2.46
Ni (0.4210, 0.5000, 0.5438)  1 S 2.15, 1 Ni 2.40
Ni (0.3379, 0.0000, 0.3591)  2 S 2.33-2.40, 6 Ni 2.44-2.60
Ni (0.1486, 0.0000, 0.8148)  2 S 2.25, 3 Ni 2.40-2.45
Ni (0.3379, 0.5000, 0.8591)  2 S 2.33-2.40, 6 Ni 2.44-2.60
Ni (0.1486, 0.5000, 0.3148)  2 S 2.25, 3 Ni 2.40-2.45
Ni (0.4974, 0.5000, 0.3443)  2 S 2.20, 3 Ni 2.44-2.46

Calculated values
**Symmetry**: Cm

***

Entry 10:
The following is a GGA-PBE calculation of an optimized crystal structure of SrNi2S, from Alexandria via LeMat-Bulk.

Unit cell a=4.7588 b=4.7588 c=7.8891 alpha=72.45 beta=72.45 gamma=90.00
Closest atoms and distances in Å follow each position.
Fractional coordinates of all 8 atoms:
Sr (0.7500, 0.2500, 0.5000)  8 Ni 3.20, 4 S 3.36
Sr (0.0000, 0.0000, 0.0000)  8 Ni 3.20, 4 S 3.36
Ni (0.3750, 0.1250, 0.2500)  2 S 2.14, 2 Ni 2.38
Ni (0.3750, 0.6250, 0.2500)  2 S 2.14, 2 Ni 2.38
Ni (0.8750, 0.6250, 0.7500)  2 S 2.14, 2 Ni 2.38
Ni (0.3750, 0.6250, 0.7500)  2 S 2.14, 2 Ni 2.38
S (0.5000, 0.5000, 0.0000)  4 Ni 2.14
S (0.2500, 0.7500, 0.5000)  4 Ni 2.14

Calculated values
**Symmetry**: I4_1/amd

***

Entry 11:
The following is a GGA-PBE calculation of an optimized crystal structure of SrNiS, from Alexandria via LeMat-Bulk.

Unit cell a=4.3206 b=8.1347 c=4.0492 alpha=89.99 beta=90.00 gamma=74.59
Closest atoms and distances in Å follow each position.
Fractional coordinates of all 6 atoms:
S (0.8901, 0.7253, 0.3572)  3 Ni 2.17
S (0.1666, 0.1706, 0.3578)  1 Ni 2.18
Ni (0.0277, 0.4480, 0.3572)  2 S 2.17-2.18
Ni (0.9396, 0.6263, 0.8571)  2 S 2.17
Sr (0.3142, 0.8771, 0.8578)  2 Ni 2.92, 6 S 3.07-3.19
Sr (0.5891, 0.3258, 0.8576)  6 Ni 3.11-3.20, 4 S 3.20

Calculated values
**Symmetry**: Amm2

***

Entry 12:
The following is a GGA-PBE calculation of an optimized crystal structure of SrNiS, from Alexandria via LeMat-Bulk.

Unit cell a=4.2923 b=4.7285 c=7.5411 alpha=108.28 beta=106.53 gamma=90.01
Closest atoms and distances in Å follow each position.
Fractional coordinates of all 6 atoms:
S (0.6402, 0.3945, 0.8095)  2 Ni 2.20
S (0.3672, 0.1223, 0.2652)  2 Ni 2.20
Ni (0.5036, 0.5084, 0.5372)  2 S 2.20, 2 Ni 2.36
Ni (0.5036, 0.0085, 0.5373)  2 S 2.20, 2 Ni 2.36
Sr (0.1450, 0.8995, 0.8195)  5 S 3.04-3.19, 4 Ni 3.12
Sr (0.8624, 0.6172, 0.2552)  5 S 3.05-3.19, 4 Ni 3.12

Calculated values
**Symmetry**: Immm

***

Entry 13:
The following is a GGA-PBE calculation of an optimized crystal structure of SrNi2S, from Alexandria via LeMat-Bulk.

Unit cell a=4.0867 b=4.8096 c=8.6045 alpha=98.68 beta=103.01 gamma=98.28
Closest atoms and distances in Å follow each position.
Fractional coordinates of all 8 atoms:
Ni (0.7186, 0.4927, 0.4690)  2 S 2.17-2.22
Ni (0.2151, 0.7023, 0.3760)  1 S 2.17
Ni (0.7839, 0.9840, 0.4217)  1 S 2.17
Ni (0.2249, 0.1343, 0.2613)  2 S 2.20-2.25, 1 Ni 2.43
S (0.1029, 0.0212, 0.9884)  1 Ni 2.25
S (0.2045, 0.3462, 0.5030)  5 Ni 2.17-2.22
Sr (0.4720, 0.9593, 0.7145)  2 Ni 2.88-3.08, 4 S 2.95-3.12
Sr (0.5931, 0.6029, 0.1018)  6 Ni 2.94-3.24, 3 S 3.08-3.14

Calculated values
**Symmetry**: P1

***

Entry 14:
The following is a GGA-PBE calculation of an optimized crystal structure of SrNiS, from Alexandria via LeMat-Bulk.

Unit cell a=3.9804 b=3.9804 c=4.2145 alpha=90.00 beta=90.00 gamma=120.00
Closest atoms and distances in Å follow each position.
Fractional coordinates of all 3 atoms:
Ni (0.6667, 0.3333, 0.0000)  3 S 2.30
Sr (0.3333, 0.6667, 0.5000)  6 Ni 3.12, 6 S 3.12
S (0.0000, 0.0000, 0.0000)  3 Ni 2.30

Calculated values
**Symmetry**: P-6m2

***

Entry 15:
The following is a GGA-PBE calculation of an optimized crystal structure of SrNiS, from Alexandria via LeMat-Bulk.

Unit cell a=5.8283 b=5.9609 c=3.8133 alpha=90.28 beta=109.26 gamma=80.35
Closest atoms and distances in Å follow each position.
Fractional coordinates of all 6 atoms:
S (0.2378, 0.2908, 0.8579)  2 Ni 2.18
S (0.7380, 0.7670, 0.6086)  2 Ni 2.18
Sr (0.7794, 0.3421, 0.1259)  4 Ni 2.97-3.32, 5 S 3.05-3.15
Sr (0.1965, 0.7156, 0.3402)  4 Ni 2.97-3.33, 5 S 3.05-3.15
Ni (0.5905, 0.9047, 0.0353)  2 S 2.18
Ni (0.3851, 0.1529, 0.4311)  2 S 2.18

Calculated values
**Symmetry**: P-1

***

Entry 16:
The following is a GGA-PBE calculation of an optimized crystal structure of SrNiS, from Alexandria via LeMat-Bulk.

Unit cell a=5.0017 b=5.0017 c=8.2673 alpha=90.00 beta=90.00 gamma=120.00
Closest atoms and distances in Å follow each position.
Fractional coordinates of all 6 atoms:
Ni (0.0000, 0.0000, 0.5000)  2 S 2.07
Ni (0.0000, 0.0000, 0.0000)  2 S 2.07
S (0.0000, 0.0000, 0.2500)  2 Ni 2.07
S (0.0000, 0.0000, 0.7500)  2 Ni 2.07
Sr (0.6667, 0.3333, 0.7500)  3 S 2.89
Sr (0.3333, 0.6667, 0.2500)  3 S 2.89

Calculated values
**Symmetry**: P6_3/mmc

***

Entry 17:
The following is a GGA-PBE calculation of an optimized crystal structure of Sr2NiS, from Alexandria via LeMat-Bulk.

Unit cell a=7.5964 b=7.5964 c=6.8468 alpha=56.31 beta=56.31 gamma=90.00
Closest atoms and distances in Å follow each position.
Fractional coordinates of all 8 atoms:
Sr (0.6216, 0.1250, 0.2500)  2 S 2.87, 2 Ni 2.91
Sr (0.3750, 0.3784, 0.7500)  2 S 2.87, 2 Ni 2.91
Sr (0.1284, 0.6250, 0.2500)  2 S 2.87, 2 Ni 2.91
Sr (0.8750, 0.8716, 0.7500)  2 S 2.87, 2 Ni 2.91
Ni (0.7500, 0.2500, 0.5000)  4 Sr 2.91
Ni (0.0000, 0.0000, 0.0000)  4 Sr 2.91
S (0.5000, 0.5000, 0.0000)  4 Sr 2.87
S (0.2500, 0.7500, 0.5000)  4 Sr 2.87

Calculated values
**Symmetry**: I-42d

***

Entry 18:
The following is a GGA-PBE calculation of an optimized crystal structure of SrNi2S, from Alexandria via LeMat-Bulk.

Unit cell a=4.0240 b=6.1455 c=7.3127 alpha=86.91 beta=74.28 gamma=70.92
Closest atoms and distances in Å follow each position.
Fractional coordinates of all 8 atoms:
Ni (0.1824, 0.0956, 0.5404)  1 S 2.18, 5 Ni 2.36-2.44
Ni (0.4509, 0.8208, 0.2741)  2 S 2.21, 3 Ni 2.41-2.44
Ni (0.8176, 0.9044, 0.4596)  1 S 2.18, 5 Ni 2.36-2.44
Ni (0.5491, 0.1792, 0.7259)  2 S 2.21, 3 Ni 2.41-2.44
Sr (0.2559, 0.7139, 0.7795)  2 Ni 2.83-3.11, 3 S 2.97-3.09
Sr (0.7441, 0.2861, 0.2205)  2 Ni 2.83-3.11, 3 S 2.97-3.09
S (0.9465, 0.3120, 0.7998)  3 Ni 2.18-2.21
S (0.0535, 0.6880, 0.2002)  3 Ni 2.18-2.21

Calculated values
**Symmetry**: P-1

***

Entry 19:
The following is a GGA-PBE calculation of an optimized crystal structure of SrNiS, from Alexandria via LeMat-Bulk.

Unit cell a=3.9556 b=3.9556 c=8.5044 alpha=90.00 beta=90.00 gamma=120.00
Closest atoms and distances in Å follow each position.
Fractional coordinates of all 6 atoms:
Ni (0.6667, 0.3333, 0.2500)  3 S 2.28
Ni (0.3333, 0.6667, 0.7500)  3 S 2.28
S (0.3333, 0.6667, 0.2500)  3 Ni 2.28
S (0.6667, 0.3333, 0.7500)  3 Ni 2.28
Sr (0.0000, 0.0000, 0.5000)  6 S 3.12, 6 Ni 3.12
Sr (0.0000, 0.0000, 0.0000)  6 S 3.12, 6 Ni 3.12

Calculated values
**Symmetry**: P6_3/mmc

***

Entry 20:
The following is a GGA-PBE calculation of an optimized crystal structure of Sr3NiS, from Alexandria via LeMat-Bulk.

Unit cell a=5.6645 b=5.6645 c=5.6645 alpha=90.00 beta=90.00 gamma=90.00
Closest atoms and distances in Å follow each position.
Fractional coordinates of all 5 atoms:
Sr (0.5000, 0.0000, 0.0000)  2 S 2.83
Sr (0.0000, 0.0000, 0.5000)  2 S 2.83
Sr (0.0000, 0.5000, 0.0000)  2 S 2.83
Ni (0.5000, 0.5000, 0.5000)  12 Sr 4.01
S (0.0000, 0.0000, 0.0000)  6 Sr 2.83

Calculated values
**Offset from the most stable computed form**: 0.000 eV per atom
**Symmetry**: Pm-3m

***

no.,uncorrected formation energy (eV per atom)
1,-0.649
2,-1.011
3,-0.986
4,-0.625
5,-0.629
6,-1.018
7,-0.918
8,-0.730
9,-0.656
10,-0.586
11,-1.002
12,-0.959
13,-0.638
14,-1.032
15,-0.930
16,-0.826
17,-0.604
18,-0.638
19,-1.025
20,-0.384